Model i:
Pm3SmIr3: relaxed, GGA-PBE.

Unit cell a=10.9320 b=9.5403 c=7.0288 alpha=90.00 beta=103.56 gamma=90.00
Space group C2/m (No. 12)
Inequivalent atoms, fractional coordinates:
Pm  0.0000  0.1895  0.0000 (multiplicity 4)
Pm  0.0000  0.2721  0.5000 (multiplicity 4)
Pm  0.2008  0.5000  0.9963 (multiplicity 4)
Sm  0.2191  0.0000  0.4583 (multiplicity 4)
Ir  0.0523  0.0000  0.7137 (multiplicity 4)
Ir  0.2395  0.2511  0.7650 (multiplicity 8)

The value obtained for the density of states at the Fermi level is 18.93 states/eV per cell.

=====

Model ii:
Pm3SmIr3: relaxed, GGA-PBE.

Unit cell a=8.6328 b=8.6328 c=17.1839 alpha=90.00 beta=90.00 gamma=120.00
Space group R-3 (No. 148, hexagonal axes)
Inequivalent atoms, fractional coordinates:
Pm  0.0156  0.7317  0.1012 (multiplicity 18)
Sm  0.0000  0.0000  0.3264 (multiplicity 6)
Ir  0.0071  0.6307  0.9360 (multiplicity 18)

The value obtained for the density of states at the Fermi level is 21.15 states/eV per cell.

=====

Short version: model ii, model i, most stable first.

=====

Model i:
PmSmZnIr: relaxed, GGA-PBE.

Unit cell a=7.1422 b=7.1422 c=7.1422 alpha=90.00 beta=90.00 gamma=90.00
Space group F-43m (No. 216)
Inequivalent atoms, fractional coordinates:
Pm  0.0000  0.0000  0.0000 (multiplicity 4)
Sm  0.0000  0.0000  0.5000 (multiplicity 4)
Zn  0.2500  0.2500  0.7500 (multiplicity 4)
Ir  0.2500  0.2500  0.2500 (multiplicity 4)

The value obtained for the density of states at the Fermi level is 6.63 states/eV per cell.

=====

Model ii:
PmSmZnIr: relaxed, GGA-PBE.

Unit cell a=4.4086 b=4.0134 c=10.8319 alpha=90.00 beta=90.00 gamma=90.00
Space group Amm2 (No. 38)
Inequivalent atoms, fractional coordinates:
Pm  0.0000  0.0000  0.0000 (multiplicity 2)
Sm  0.5000  0.0000  0.7234 (multiplicity 2)
Zn  0.0000  0.0000  0.2913 (multiplicity 2)
Ir  0.5000  0.0000  0.4322 (multiplicity 2)

The value obtained for the density of states at the Fermi level is 5.92 states/eV per cell.

=====

Short version: model ii, model i, most stable first.